DFT (GGA-PBE) results for crystalline HoZn2Rh2 at its relaxed geometry.

abc: 7.2588 7.2588 3.0963
angles: 90.00 90.00 90.00
Closest atoms and distances in Å follow each position.
Fractional positions:
Ho 0.0000 0.0000 0.0000  4 Zn 2.89, 8 Rh 3.09, 2 Ho 3.10
Ho 0.5000 0.5000 0.0000  4 Zn 2.89, 8 Rh 3.09, 2 Ho 3.10
Zn 0.1199 0.3801 0.0000  1 Zn 2.46, 6 Rh 2.60-2.68
Zn 0.3801 0.8801 0.0000  1 Zn 2.46, 6 Rh 2.60-2.68
Zn 0.6199 0.1199 0.0000  1 Zn 2.46, 6 Rh 2.60-2.68
Zn 0.8801 0.6199 0.0000  1 Zn 2.46, 6 Rh 2.60-2.68
Rh 0.1766 0.6766 0.5000  6 Zn 2.60-2.68
Rh 0.3234 0.1766 0.5000  6 Zn 2.60-2.68
Rh 0.6766 0.8234 0.5000  6 Zn 2.60-2.68
Rh 0.8234 0.3234 0.5000  6 Zn 2.60-2.68

Summary:
DOS at the Fermi energy: 2.783 states/eV per cell
energy above the most stable polymorph in this dataset: 0.000 eV/atom
space-group type: P4/mbm, No. 127
E_tot: -49.19 eV for the cell shown
energy of formation from the pure elements: -554 meV per atom
density: 10.210 g/cm3
size of the total moment: 0.00 Bohr magnetons per cell